{
  "formula": "MnNb2W",
  "functional": "PBE",
  "state": "relaxed",
  "cell": [[-2.529, -1.909, 0.102], [1.733, -2.361, -1.212], [1.610, -1.822, 5.850]],
  "species": ["W", "Nb", "Nb", "Mn"],
  "fractional_positions": [[0.500, 0.500, 0.500], [0.000, 0.000, 0.759], [0.000, 0.000, 0.241], [0.500, 0.500, 0.000]],
  "space_group": "P4/mmm",
  "dos_ef_per_ev_atom": 0.75,
  "delta_e_f_ev_per_atom": -0.04,
  "rho_g_cm3": 11.077
}



{
  "formula": "Pr2ErMg4",
  "functional": "PBE",
  "state": "relaxed",
  "cell": [[5.216, 0.000, -1.663], [-0.530, 5.189, -1.663], [-0.236, -0.261, 8.273]],
  "species": ["Mg", "Mg", "Mg", "Mg", "Er", "Pr", "Pr"],
  "fractional_positions": [[0.388, 0.888, 0.776], [0.612, 0.112, 0.224], [0.112, 0.612, 0.224], [0.888, 0.388, 0.776], [0.000, 0.000, 0.000], [0.253, 0.253, 0.507], [0.747, 0.747, 0.493]],
  "space_group": "I4/mmm",
  "dos_ef_per_ev_atom": 0.79,
  "delta_e_f_ev_per_atom": 0.12,
  "rho_g_cm3": 4.136,
  "de_polymorph_ev_per_atom": 0.0000
}



{
  "formula": "ZnMo2P",
  "functional": "PBE",
  "state": "relaxed",
  "cell": [[2.413, -0.872, 3.457], [-1.788, -0.048, 3.917], [-0.503, -3.730, 2.091]],
  "species": ["P", "Mo", "Mo", "Zn"],
  "fractional_positions": [[0.000, 0.000, 0.000], [0.750, 0.750, 0.750], [0.250, 0.250, 0.250], [0.500, 0.500, 0.500]],
  "space_group": "Fm-3m",
  "dos_ef_per_ev_atom": 0.92,
  "delta_e_f_ev_per_atom": 0.11,
  "rho_g_cm3": 8.480,
  "de_polymorph_ev_per_atom": 0.1680
}



{
  "formula": "SmY5Al3",
  "functional": "PBE",
  "state": "relaxed",
  "cell": [[-1.696, 5.756, 2.911], [-6.508, 1.267, -6.297], [-1.930, -4.480, 7.733]],
  "species": ["Y", "Y", "Y", "Y", "Y", "Y", "Y", "Y", "Y", "Y", "Al", "Al", "Al", "Al", "Al", "Al", "Sm", "Sm"],
  "fractional_positions": [[0.500, 0.333, 0.667], [0.250, 0.331, 0.331], [0.750, 0.331, 0.000], [0.750, 0.669, 0.669], [0.000, 0.333, 0.667], [0.250, 0.000, 0.669], [0.750, 0.000, 0.331], [0.250, 0.669, 0.000], [0.000, 0.667, 0.333], [0.500, 0.667, 0.333], [0.750, 0.662, 0.000], [0.250, 0.338, 0.000], [0.750, 0.338, 0.338], [0.250, 0.000, 0.338], [0.750, 0.000, 0.662], [0.250, 0.662, 0.662], [0.500, 0.000, 0.000], [0.000, 0.000, 0.000]],
  "space_group": "P6_3/mcm",
  "dos_ef_per_ev_atom": 1.15,
  "delta_e_f_ev_per_atom": -0.28,
  "rho_g_cm3": 4.648
}



{
  "formula": "CeEr5Au6",
  "functional": "PBE",
  "state": "relaxed",
  "cell": [[4.884, 0.021, -1.425], [-0.981, 6.280, -3.270], [-0.080, 0.509, 8.813]],
  "species": ["Ce", "Er", "Er", "Er", "Er", "Er", "Au", "Au", "Au", "Au", "Au", "Au"],
  "fractional_positions": [[0.000, 0.000, 0.000], [0.000, 0.500, 0.000], [0.335, 0.835, 0.671], [0.332, 0.332, 0.663], [0.665, 0.165, 0.329], [0.668, 0.668, 0.337], [0.171, 0.430, 0.342], [0.500, 0.734, 0.000], [0.171, 0.913, 0.342], [0.829, 0.570, 0.658], [0.829, 0.087, 0.658], [0.500, 0.266, 0.000]],
  "space_group": "Immm",
  "dos_ef_per_ev_atom": 1.04,
  "delta_e_f_ev_per_atom": -0.82,
  "rho_g_cm3": 12.864
}



{
  "formula": "NpAlSiGe",
  "functional": "PBE",
  "state": "relaxed",
  "cell": [[3.945, 0.000, 0.000], [0.000, 4.241, 0.000], [0.000, 0.000, 4.310]],
  "species": ["Ge", "Np", "Al", "Si"],
  "fractional_positions": [[0.000, 0.500, 0.500], [0.500, 0.500, 0.000], [0.500, 0.000, 0.500], [0.000, 0.000, 0.000]],
  "space_group": "Pmmm",
  "formation_energy_uncorrected_mev_per_atom": -217.3,
  "dos_ef_per_ev_atom": 1.79,
  "rho_g_cm3": 8.399
}